# LiCu2Pb

LiCu2Pb at its PBEsol-relaxed geometry (SCAN, the Alexandria database). Values from VASP.

**Space-group type**: P4/mmm
**Total moment**: 0.000 μB per atom
**Formation energy**: 39 meV/atom

```
&SYSTEM
  ibrav = 0, nat = 4, ntyp = 3
/
ATOMIC_SPECIES
Pb 207.20 Pb.upf
Li 6.94 Li.upf
Cu 63.55 Cu.upf
CELL_PARAMETERS angstrom
-3.114 1.096 2.114
1.069 -2.466 2.854
2.150 2.874 1.679
ATOMIC_POSITIONS angstrom
Pb 1.075 1.437 0.839
Li 0.052 0.752 3.323
Cu 0.534 -1.233 1.427
Cu -1.557 0.548 1.057
```